Record 1
Density functional theory data (PBE) for CdCuTe2 after structural relaxation.

Cell: 3.954 7.533 7.857 Å, 90.00 90.00 90.00°
Space group Cmmm (No. 65)
Unique sites:
Cd 0.000 0.000 0.000 x2
Cu 0.000 0.000 0.500 x2
Te 0.000 0.500 0.286 x4

Output
density of states at the Fermi level	1.74	states/eV/f.u.
magnetization	0.000	μB/atom
electronic total energy	-2.706	eV/atom
calculated volume	117	Å³/f.u.



Record 2
Density functional theory data (PBE) for CdCuTe2 after structural relaxation.

Cell: 7.297 7.297 7.297 Å, 90.00 90.00 90.00°
Space group F-43m (No. 216)
Unique sites:
Cd 0.000 0.000 0.000 x4
Cu 0.250 0.250 0.750 x4
Te 0.000 0.000 0.500 x4
Te 0.250 0.250 0.250 x4

Output
density of states at the Fermi level	2.28	states/eV/f.u.
magnetization	0.000	μB/atom
electronic total energy	-2.412	eV/atom
calculated volume	97	Å³/f.u.



Record 3
Density functional theory data (PBE) for CdCuTe2 after structural relaxation.

Cell: 3.499 3.499 7.796 Å, 90.00 90.00 90.00°
Space group P4/mmm (No. 123)
Unique sites:
Cd 0.000 0.000 0.000 x1
Cu 0.000 0.000 0.500 x1
Te 0.500 0.500 0.293 x2

Output
density of states at the Fermi level	3.01	states/eV/f.u.
magnetization	0.000	μB/atom
electronic total energy	-2.553	eV/atom
calculated volume	95	Å³/f.u.



Record 4
Density functional theory data (PBE) for CdCu2Te after structural relaxation.

Cell: 6.338 7.799 3.018 Å, 90.00 90.00 90.00°
Space group Cmmm (No. 65)
Unique sites:
Cd 0.000 0.000 0.000 x2
Cu 0.250 0.250 0.500 x4
Te 0.000 0.500 0.000 x2

Output
density of states at the Fermi level	1.14	states/eV/f.u.
magnetization	0.000	μB/atom
electronic total energy	-2.790	eV/atom
polymorph energy (0 for the lowest one)	169	meV/atom
calculated volume	75	Å³/f.u.



Record 5
Density functional theory data (PBE) for CdCu2Te after structural relaxation.

Cell: 3.841 4.134 4.694 Å, 90.00 90.00 90.00°
Space group Pmmm (No. 47)
Unique sites:
Cd 0.000 0.000 0.000 x1
Cu 0.500 0.000 0.500 x1
Cu 0.500 0.500 0.000 x1
Te 0.000 0.500 0.500 x1

Output
density of states at the Fermi level	1.37	states/eV/f.u.
magnetization	0.000	μB/atom
electronic total energy	-2.834	eV/atom
polymorph energy (0 for the lowest one)	126	meV/atom
calculated volume	75	Å³/f.u.



Record 6
Density functional theory data (PBE) for CdCu2Te after structural relaxation.

Cell: 5.545 5.545 13.741 Å, 90.00 90.00 90.00°
Space group I-42d (No. 122)
Unique sites:
Cd 0.000 0.000 0.000 x4
Cu 0.211 0.250 0.625 x8
Te 0.000 0.000 0.500 x4

Output
density of states at the Fermi level	0.00	states/eV/f.u.
magnetization	0.000	μB/atom
electronic total energy	-2.842	eV/atom
polymorph energy (0 for the lowest one)	117	meV/atom
calculated volume	106	Å³/f.u.



Record 7
Density functional theory data (PBE) for CdCuTe2 after structural relaxation.

Cell: 4.0640 4.0640 24.9168 Å, 90.00 90.00 120.00°
Space group R-3m (No. 166, hexagonal axes)
Unique sites:
Cd 0.0000 0.0000 0.0000 x3
Cu 0.0000 0.0000 0.5000 x3
Te 0.0000 0.0000 0.1107 x6

Output
density of states at the Fermi level	2.00	states/eV/f.u.
magnetization	0.000	μB/atom
electronic total energy	-2.781	eV/atom
calculated volume	119	Å³/f.u.



Record 8
Density functional theory data (PBE) for CdCu2Te after structural relaxation.

Cell: 6.781 6.781 6.781 Å, 90.00 90.00 90.00°
Space group F-43m (No. 216)
Unique sites:
Cd 0.000 0.000 0.000 x4
Cu 0.000 0.000 0.500 x4
Cu 0.250 0.250 0.750 x4
Te 0.250 0.250 0.250 x4

Output
density of states at the Fermi level	0.97	states/eV/f.u.
magnetization	0.000	μB/atom
electronic total energy	-2.681	eV/atom
polymorph energy (0 for the lowest one)	278	meV/atom
calculated volume	78	Å³/f.u.



Record 9
Density functional theory data (PBE) for Cd2Cu2Te after structural relaxation.

Cell: 3.984 3.984 12.640 Å, 90.00 90.00 90.00°
Space group I4/mmm (No. 139)
Unique sites:
Cd 0.000 0.500 0.250 x4
Cu 0.000 0.000 0.095 x4
Te 0.000 0.000 0.500 x2

Output
density of states at the Fermi level	1.90	states/eV/f.u.
magnetization	0.000	μB/atom
electronic total energy	-2.473	eV/atom
polymorph energy (0 for the lowest one)	49	meV/atom
calculated volume	100	Å³/f.u.



Record 10
Density functional theory data (PBE) for CdCuTe2 after structural relaxation.

Cell: 3.792 4.048 13.086 Å, 90.00 90.00 90.00°
Space group Imm2 (No. 44)
Unique sites:
Cd 0.000 0.000 0.000 x2
Cu 0.000 0.500 0.742 x2
Te 0.000 0.000 0.391 x2
Te 0.000 0.500 0.171 x2

Output
density of states at the Fermi level	2.83	states/eV/f.u.
magnetization	0.000	μB/atom
electronic total energy	-2.746	eV/atom
calculated volume	100	Å³/f.u.



Record 11
Density functional theory data (PBE) for CdCuTe2 after structural relaxation.

Cell: 4.033 4.875 10.252 Å, 90.00 90.00 90.00°
Space group Cmm2 (No. 35)
Unique sites:
Cd 0.000 0.000 0.000 x2
Cu 0.000 0.500 0.178 x2
Te 0.000 0.000 0.363 x2
Te 0.000 0.500 0.728 x2

Output
density of states at the Fermi level	2.54	states/eV/f.u.
magnetization	0.000	μB/atom
electronic total energy	-2.655	eV/atom
calculated volume	101	Å³/f.u.



Record 12
Density functional theory data (PBE) for CdCuTe2 after structural relaxation.

Cell: 3.939 6.790 8.071 Å, 90.00 90.00 90.00°
Space group Immm (No. 71)
Unique sites:
Cd 0.000 0.000 0.000 x2
Cu 0.000 0.000 0.500 x2
Te 0.000 0.500 0.210 x4

Output
density of states at the Fermi level	2.30	states/eV/f.u.
magnetization	0.000	μB/atom
electronic total energy	-2.728	eV/atom
calculated volume	108	Å³/f.u.